# 1
A relaxed Sc4ZnIr5 crystal. Source: the Alexandria database, functional GGA-PBE.

Computed properties:
Theoretical density in g/cm3: 12.338
Space group: P4/mmm
ΔH_f (0 K) in kcal/mol of atoms: -19.9

```
Sc4ZnIr5
1.0
-1.802 2.248 1.415
0.562 -1.349 2.858
12.745 9.094 1.786
Sc Zn Ir
4 1 5
Direct
0.000 0.000 0.189 Sc
0.000 0.000 0.396 Sc
0.000 0.000 0.604 Sc
0.000 0.000 0.811 Sc
0.000 0.000 0.000 Zn
0.500 0.500 0.091 Ir
0.500 0.500 0.295 Ir
0.500 0.500 0.500 Ir
0.500 0.500 0.705 Ir
0.500 0.500 0.909 Ir
```

# 2
A relaxed Er8MgTc2 crystal. Source: the Alexandria database, functional GGA-PBE.

Computed properties:
Theoretical density in g/cm3: 9.073
Space group: Cm
ΔH_f (0 K) in kcal/mol of atoms: -0.6

```
Er8MgTc2
1.0
-2.811 -1.197 -4.357
1.761 -6.602 0.692
-5.791 2.674 6.249
Er Mg Tc
8 1 2
Direct
0.637 0.270 0.909 Er
0.968 0.015 0.572 Er
0.305 0.352 0.246 Er
0.748 0.932 0.131 Er
0.344 0.863 0.326 Er
0.927 0.446 0.492 Er
0.139 0.536 0.909 Er
0.526 0.710 0.687 Er
0.138 0.968 0.909 Mg
0.799 0.618 0.238 Tc
0.470 0.289 0.579 Tc
```

# 3
A relaxed Ba3LiPb3 crystal. Source: the Alexandria database, functional GGA-PBE.

Computed properties:
Theoretical density in g/cm3: 6.403
Space group: C2/m
ΔH_f (0 K) in kcal/mol of atoms: -12.1

```
Ba3LiPb3
1.0
5.231 0.000 0.788
2.591 6.330 0.558
0.216 -0.122 16.327
Ba Li Pb
6 2 6
Direct
0.543 0.300 0.614 Ba
0.457 0.700 0.386 Ba
0.254 0.264 0.228 Ba
0.746 0.736 0.772 Ba
0.405 0.272 0.919 Ba
0.595 0.728 0.081 Ba
0.754 0.088 0.405 Li
0.246 0.912 0.595 Li
0.869 0.716 0.546 Pb
0.131 0.284 0.454 Pb
0.114 0.848 0.925 Pb
0.886 0.152 0.075 Pb
0.956 0.853 0.236 Pb
0.044 0.147 0.764 Pb
```

# 4
A relaxed SrZr2Pd crystal. Source: the Alexandria database, functional GGA-PBE.

Computed properties:
Theoretical density in g/cm3: 4.733
Space group: I4_1/amd
ΔH_f (0 K) in kcal/mol of atoms: 12.6

```
SrZr2Pd
1.0
-2.246 4.472 1.594
-2.002 -2.491 4.167
5.726 3.133 7.932
Sr Zr Pd
2 4 2
Direct
0.500 0.500 0.000 Sr
0.250 0.750 0.500 Sr
0.875 0.125 0.250 Zr
0.875 0.625 0.250 Zr
0.375 0.125 0.750 Zr
0.875 0.125 0.750 Zr
0.000 0.000 0.000 Pd
0.750 0.250 0.500 Pd
```

# 5
A relaxed FeOs crystal. Source: the Alexandria database, functional GGA-PBE.

Computed properties:
Theoretical density in g/cm3: 15.765
Space group: C2/m
ΔH_f (0 K) in kcal/mol of atoms: 3.2

```
FeOs
1.0
2.666 0.000 0.000
-1.333 4.389 0.004
0.000 -0.798 4.430
Fe Os
2 2
Direct
0.999 0.998 0.992 Fe
0.251 0.502 0.758 Fe
0.750 0.500 0.252 Os
0.500 0.000 0.498 Os
```

# 6
A relaxed Na2SrGaGe2 crystal. Source: the Alexandria database, functional GGA-PBE.

Computed properties:
Theoretical density in g/cm3: 3.835
Space group: Pmc2_1
ΔH_f (0 K) in kcal/mol of atoms: -6.3

```
Na2SrGaGe2
1.0
-2.301 0.366 3.812
-5.949 -3.834 -3.222
3.360 -7.525 2.750
Na Sr Ga Ge
4 2 2 4
Direct
0.500 0.025 0.074 Na
0.000 0.345 0.158 Na
0.500 0.525 0.926 Na
0.000 0.845 0.842 Na
0.000 0.003 0.438 Sr
0.000 0.503 0.562 Sr
0.500 0.155 0.676 Ga
0.500 0.655 0.324 Ga
0.000 0.222 0.832 Ge
0.500 0.296 0.380 Ge
0.000 0.722 0.168 Ge
0.500 0.796 0.620 Ge
```

# 7
A relaxed CdAgW2 crystal. Source: the Alexandria database, functional GGA-PBE.

Computed properties:
Theoretical density in g/cm3: 13.484
Space group: P4mm
ΔH_f (0 K) in kcal/mol of atoms: 11.4

```
CdAgW2
1.0
3.289 0.000 0.000
0.000 3.289 0.000
0.000 0.000 6.693
Ag W Cd
1 2 1
Direct
0.000 0.000 0.498 Ag
0.000 0.000 0.039 W
0.500 0.500 0.218 W
0.500 0.500 0.745 Cd
```

# 8
A relaxed Tl2CrRu crystal. Source: the Alexandria database, functional GGA-PBE.

Computed properties:
Theoretical density in g/cm3: 12.357
Space group: P4/mmm
ΔH_f (0 K) in kcal/mol of atoms: 14.8

```
Tl2CrRu
1.0
-0.757 -2.148 3.849
3.955 1.392 1.555
-1.642 3.095 1.404
Cr Ru Tl
1 1 2
Direct
0.500 0.000 0.500 Cr
0.000 0.500 0.500 Ru
0.000 0.000 0.000 Tl
0.500 0.500 0.000 Tl
```